Below is a geometry-optimized TaCo2Cu structure, with properties calculated at the PBE level.

Crystal system: tetragonal
Final energy (eV per cell): -30.455
E_form (eV per atom): -0.07

```
TaCo2Cu
1.0
-3.0746 -3.1702 -1.4148
1.4533 -4.3682 0.5579
-0.2143 3.7253 2.7541
Ta Co Cu
1 2 1
direct
0.2500 0.7500 0.5000
0.0000 0.0000 0.0000
0.7500 0.2500 0.5000
0.5000 0.5000 0.0000
```

---

Below is a geometry-optimized TaCo3Cu structure, with properties calculated at the PBE level.

Crystal system: cubic
Final energy (eV per cell): -31.407
ΔE to the lowest computed polymorph (eV/atom): 1.004
E_form (eV per atom): 1.17

```
TaCo3Cu
1.0
-0.3696 3.7067 1.8435
-3.8012 -1.0370 1.3229
1.6398 -1.5683 3.4822
Co Cu Ta
3 1 1
direct
0.0000 0.5000 0.0000
0.0000 0.0000 0.5000
0.5000 0.0000 0.0000
0.0000 0.0000 0.0000
0.5000 0.5000 0.5000
```

---

Below is a geometry-optimized TaCo2Cu structure, with properties calculated at the PBE level.

Crystal system: tetragonal
Final energy (eV per cell): -30.725
E_form (eV per atom): -0.14

```
TaCo2Cu
1.0
-3.4603 1.6389 -0.2960
-0.7712 -2.1817 -3.0647
-1.2970 -2.3742 2.0165
Ta Co Cu
1 2 1
direct
0.0000 0.5000 0.5000
0.5000 0.5000 0.0000
0.0000 0.0000 0.0000
0.5000 0.0000 0.5000
```

---

Below is a geometry-optimized Ta2Co2Cu structure, with properties calculated at the PBE level.

Crystal system: tetragonal
Final energy (eV per cell): -84.883
ΔE to the lowest computed polymorph (eV/atom): 0.000
E_form (eV per atom): -0.09

```
Ta2Co2Cu
1.0
6.8687 0.0000 0.0000
0.0000 6.8687 0.0000
0.0000 0.0000 3.0059
Ta Cu Co
4 2 4
direct
0.3291 0.1709 0.5000
0.1709 0.6709 0.5000
0.8291 0.3291 0.5000
0.6709 0.8291 0.5000
0.0000 0.0000 0.0000
0.5000 0.5000 0.0000
0.3695 0.8695 0.0000
0.6305 0.1305 0.0000
0.8695 0.6305 0.0000
0.1305 0.3695 0.0000
```

---

Below is a geometry-optimized TaCo3Cu structure, with properties calculated at the PBE level.

Crystal system: cubic
Final energy (eV per cell): -29.599
ΔE to the lowest computed polymorph (eV/atom): 1.366
E_form (eV per atom): 1.53

```
TaCo3Cu
1.0
-0.3298 3.8481 -2.2111
-3.0489 1.4148 2.9169
3.2251 1.7310 2.5315
Co Cu Ta
3 1 1
direct
0.5000 0.0000 0.0000
0.0000 0.0000 0.5000
0.0000 0.5000 0.0000
0.5000 0.5000 0.5000
0.0000 0.0000 0.0000
```

---

Below is a geometry-optimized TaCo2Cu structure, with properties calculated at the PBE level.

Crystal system: cubic
Final energy (eV per cell): -29.641
E_form (eV per atom): 0.13

```
TaCo2Cu
1.0
4.1855 0.0000 0.0000
2.0928 3.6248 0.0000
2.0928 1.2083 3.4175
Co Ta Cu
2 1 1
direct
0.0000 0.0000 0.0000
0.2500 0.2500 0.2500
0.7500 0.7500 0.7500
0.5000 0.5000 0.5000
```

---

Below is a geometry-optimized TaCoCu structure, with properties calculated at the PBE level.

Crystal system: trigonal
Final energy (eV per cell): -22.932
ΔE to the lowest computed polymorph (eV/atom): 0.108
E_form (eV per atom): 0.04

```
TaCoCu
1.0
-1.1334 -3.0369 2.6667
3.7113 -0.1974 -1.9509
1.1247 1.3399 2.0039
Ta Co Cu
1 1 1
direct
0.3333 0.6667 0.6967
0.0000 0.0000 0.0727
0.6667 0.3333 0.2306
```

---

Below is a geometry-optimized Ta2Co2Cu structure, with properties calculated at the PBE level.

Crystal system: tetragonal
Final energy (eV per cell): -82.358
ΔE to the lowest computed polymorph (eV/atom): 0.253
E_form (eV per atom): 0.17

```
Ta2Co2Cu
1.0
7.2895 0.0000 0.0000
0.0000 7.2895 0.0000
0.0000 0.0000 2.7864
Co Ta Cu
4 4 2
direct
0.8642 0.3642 0.5000
0.6358 0.8642 0.5000
0.1358 0.6358 0.5000
0.3642 0.1358 0.5000
0.1572 0.3428 0.0000
0.3428 0.8428 0.0000
0.8428 0.6572 0.0000
0.6572 0.1572 0.0000
0.0000 0.0000 0.0000
0.5000 0.5000 0.0000
```

---

Below is a geometry-optimized TaCo2Cu structure, with properties calculated at the PBE level.

Crystal system: orthorhombic
Final energy (eV per cell): -29.946
E_form (eV per atom): 0.05

```
TaCo2Cu
1.0
3.6471 0.0000 0.0000
0.0000 2.7149 0.0231
0.0000 2.6719 5.2059
Co Ta Cu
2 1 1
direct
0.0000 0.9878 0.0124
0.5000 0.2503 0.2496
0.5000 0.7396 0.7604
0.0000 0.5223 0.4777
```

---

Below is a geometry-optimized Ta2TiCoCu structure, with properties calculated at the PBE level.

Crystal system: tetragonal
Final energy (eV per cell): -35.775
E_form (eV per atom): 1.41

```
Ta2TiCoCu
1.0
4.7411 0.0000 0.0000
0.0000 4.0802 0.0000
0.0000 0.0000 4.7411
Ti Co Ta Cu
1 1 2 1
direct
0.0000 0.0000 0.0000
0.0000 0.5000 0.0000
0.5000 0.0000 0.0000
0.0000 0.0000 0.5000
0.5000 0.5000 0.5000
```

---

Below is a geometry-optimized TaZnCoCu2 structure, with properties calculated at the PBE level.

Crystal system: tetragonal
Final energy (eV per cell): -24.243
E_form (eV per atom): 0.84

```
TaZnCoCu2
1.0
4.4397 0.0000 0.0000
0.0000 4.3632 0.0000
0.0000 0.0000 4.4397
Cu Co Zn Ta
2 1 1 1
direct
0.0000 0.0000 0.5000
0.5000 0.0000 0.0000
0.0000 0.0000 0.0000
0.5000 0.5000 0.5000
0.0000 0.5000 0.0000
```

---

Below is a geometry-optimized TaZnCoCu structure, with properties calculated at the PBE level.

Crystal system: cubic
Final energy (eV per cell): -24.447
E_form (eV per atom): -0.03

```
TaZnCoCu
1.0
4.2441 0.0000 0.0000
2.1220 3.6755 0.0000
2.1220 1.2252 3.4653
Co Ta Zn Cu
1 1 1 1
direct
0.7500 0.7500 0.7500
0.0000 0.0000 0.0000
0.5000 0.5000 0.5000
0.2500 0.2500 0.2500
```